No. 1
## PrTmAg4 (PBE-GGA)

Data for PrTmAg4 after structural relaxation.

Cell: 5.3407 5.3497 5.4224 Å, 60.44 90.00 90.00°
Closest atoms and distances in Å follow each position.
Element x y z (fractional)
Pr 0.0013 0.5018 0.4954  10 Ag 3.11-3.15
Tm 0.5013 0.0019 0.4954  10 Ag 3.04-3.16
Ag 0.5013 0.6793 0.1406  5 Ag 3.00-3.35, 3 Tm 3.04-3.16, 2 Pr 3.15
Ag 0.5013 0.3245 0.8503  5 Ag 3.00-3.35, 3 Tm 3.04-3.16, 2 Pr 3.15
Ag 0.0013 0.1694 0.1602  5 Ag 3.04-3.16, 2 Tm 3.10, 3 Pr 3.11-3.14
Ag 0.0012 0.8342 0.8307  5 Ag 3.04-3.16, 2 Tm 3.10, 3 Pr 3.11-3.14

Energy of formation from the pure elements   -0.269 eV/atom
Uncorrected energy   -3.71 eV/atom
ΔE to the lowest computed polymorph   0 meV/atom

***

No. 2
## TlCu6Cl8 (PBE-GGA)

Data for TlCu6Cl8 after structural relaxation.

Cell: 8.3516 8.3516 8.3516 Å, 60.00 60.00 60.00°
Closest atoms and distances in Å follow each position.
Element x y z (fractional)
Tl 0.0000 0.0000 0.0000  8 Cl 3.06
Cu 0.0000 0.5000 0.0000  4 Cl 2.44
Cu 0.0000 0.0000 0.5000  4 Cl 2.44
Cu 0.0000 0.5000 0.5000  4 Cl 2.44
Cu 0.5000 0.0000 0.5000  4 Cl 2.44
Cu 0.5000 0.5000 0.0000  4 Cl 2.44
Cu 0.5000 0.0000 0.0000  4 Cl 2.44
Cl 0.5508 0.1497 0.1497  3 Cu 2.44
Cl 0.8503 0.8503 0.4492  3 Cu 2.44
Cl 0.1497 0.1497 0.5508  3 Cu 2.44
Cl 0.8503 0.8503 0.8503  3 Cu 2.44
Cl 0.1497 0.5508 0.1497  3 Cu 2.44
Cl 0.1497 0.1497 0.1497  3 Cu 2.44
Cl 0.8503 0.4492 0.8503  3 Cu 2.44
Cl 0.4492 0.8503 0.8503  3 Cu 2.44

Uncorrected energy   -3.13 eV/atom
ΔE_f (raw)   -349 meV per atom

***

No. 3
## Li2Pm3Rh7 (PBE-GGA)

Data for Li2Pm3Rh7 after structural relaxation.

Cell: 5.3786 5.3786 8.9813 Å, 72.58 72.58 60.00°
Closest atoms and distances in Å follow each position.
Element x y z (fractional)
Li 0.6643 0.6643 0.0071  6 Rh 2.55-2.63
Li 0.3357 0.3357 0.9929  6 Rh 2.55-2.63
Pm 0.0000 0.0000 0.0000  6 Li 3.11, 12 Rh 3.40
Pm 0.8595 0.8595 0.4214  12 Rh 3.07-3.20, 3 Pm 3.38
Pm 0.1405 0.1405 0.5786  12 Rh 3.07-3.20, 3 Pm 3.38
Rh 0.5000 0.5000 0.5000  6 Rh 2.66
Rh 0.9222 0.4159 0.2460  2 Li 2.55-2.63, 5 Rh 2.66-2.72
Rh 0.4159 0.9222 0.2460  2 Li 2.55-2.63, 5 Rh 2.66-2.72
Rh 0.4159 0.4159 0.2460  2 Li 2.55-2.63, 5 Rh 2.66-2.72
Rh 0.0778 0.5841 0.7540  2 Li 2.55-2.63, 5 Rh 2.66-2.72
Rh 0.5841 0.5841 0.7540  2 Li 2.55-2.63, 5 Rh 2.66-2.72
Rh 0.5841 0.0778 0.7540  2 Li 2.55-2.63, 5 Rh 2.66-2.72

Energy of formation from the pure elements   -0.517 eV/atom
Uncorrected energy   -6.31 eV/atom

***

No. 4
## PRuW (PBE-GGA)

Data for PRuW after structural relaxation.

Cell: 4.1323 4.1323 2.8249 Å, 90.00 90.00 120.00°
Closest atoms and distances in Å follow each position.
Element x y z (fractional)
P 0.0000 0.0000 0.0000  3 Ru 2.39
Ru 0.6667 0.3333 0.0000  3 P 2.39
W 0.3333 0.6667 0.5000  6 Ru 2.77, 6 P 2.77, 2 W 2.82

Energy of formation from the pure elements   -0.136 eV/atom
Uncorrected energy   -9.35 eV/atom

***

No. 5
## UV2 (PBE-GGA)

Data for UV2 after structural relaxation.

Cell: 3.2413 3.2413 5.0811 Å, 108.60 108.60 90.00°
Closest atoms and distances in Å follow each position.
Element x y z (fractional)
U 0.0000 0.0000 0.0000  8 V 2.70
V 0.6582 0.6582 0.3163  4 U 2.70, 5 V 2.83-2.87
V 0.3418 0.3418 0.6837  4 U 2.70, 5 V 2.83-2.87

Energy of formation from the pure elements   0.313 eV/atom
Uncorrected energy   -9.53 eV/atom

***

No. 6
## CoReTc (PBE-GGA)

Data for CoReTc after structural relaxation.

Cell: 5.8314 5.8314 2.6982 Å, 76.62 76.62 26.75°
Closest atoms and distances in Å follow each position.
Element x y z (fractional)
Co 0.9993 0.9993 0.0007  4 Re 2.60, 4 Tc 2.61, 4 Co 2.70
Re 0.3394 0.3394 0.6606  4 Co 2.60, 4 Re 2.70, 4 Tc 2.74
Tc 0.6613 0.6613 0.3387  4 Co 2.61, 4 Tc 2.70, 4 Re 2.74

Energy of formation from the pure elements   0.109 eV/atom
Uncorrected energy   -9.86 eV/atom
ΔE to the lowest computed polymorph   125 meV/atom